Here is KGa2Te4 after structural relaxation from Alexandria. Energies are from PBE-GGA.

Output
Energy relative to the elements, uncorrected = -0.431 eV per atom
Calculated volume = 36.55 A^3/atom
Excess energy over the best structure of this formula in the dataset = 0.1 kJ/mol of atoms

Cell: 8.614 8.614 6.896 Å, 90.00 90.00 90.00°
Space group I422 (No. 97)
Symmetry-distinct sites (fractional):
K 0.000 0.000 0.000 (multiplicity 2)
Ga 0.000 0.500 0.000 (multiplicity 4)
Te 0.166 0.334 0.750 (multiplicity 8)

---

Here is K5Ga2Te5 after structural relaxation from Alexandria. Energies are from PBE-GGA.

Output
Energy relative to the elements, uncorrected = -0.761 eV per atom
Calculated volume = 38.07 A^3/atom

Cell: 15.779 4.659 12.848 Å, 90.00 104.67 90.00°
Space group C2/m (No. 12)
Symmetry-distinct sites (fractional):
K 0.000 0.000 0.000 (multiplicity 2)
K 0.161 0.000 0.581 (multiplicity 4)
K 0.228 0.500 0.129 (multiplicity 4)
Ga 0.036 0.500 0.300 (multiplicity 4)
Te 0.000 0.500 0.500 (multiplicity 2)
Te 0.106 0.500 0.863 (multiplicity 4)
Te 0.141 0.000 0.293 (multiplicity 4)

---

Here is K2Ga2Te after structural relaxation from Alexandria. Energies are from PBE-GGA.

Output
Energy relative to the elements, uncorrected = -0.245 eV per atom
Calculated volume = 32.87 A^3/atom
Excess energy over the best structure of this formula in the dataset = 0.0 kJ/mol of atoms

Cell: 7.705 7.705 5.536 Å, 90.00 90.00 90.00°
Space group P4/mbm (No. 127)
Symmetry-distinct sites (fractional):
K 0.192 0.308 0.000 (multiplicity 4)
Ga 0.115 0.615 0.500 (multiplicity 4)
Te 0.000 0.000 0.500 (multiplicity 2)

---

Here is KGa2Te2 after structural relaxation from Alexandria. Energies are from PBE-GGA.

Output
Energy relative to the elements, uncorrected = -0.330 eV per atom
Calculated volume = 28.70 A^3/atom
Excess energy over the best structure of this formula in the dataset = 9.0 kJ/mol of atoms

Cell: 8.670 8.670 3.818 Å, 90.00 90.00 90.00°
Space group P4/mbm (No. 127)
Symmetry-distinct sites (fractional):
K 0.000 0.000 0.000 (multiplicity 2)
Ga 0.113 0.387 0.000 (multiplicity 4)
Te 0.189 0.689 0.500 (multiplicity 4)

---

Here is KGa4Te7 after structural relaxation from Alexandria. Energies are from PBE-GGA.

Output
Energy relative to the elements, uncorrected = -0.398 eV per atom
Calculated volume = 34.21 A^3/atom

Cell: 16.723 7.071 6.944 Å, 90.00 90.00 90.00°
Space group Pmn2_1 (No. 31)
Symmetry-distinct sites (fractional):
K 0.000 0.158 0.000 (multiplicity 2)
Ga 0.121 0.667 0.661 (multiplicity 4)
Ga 0.249 0.178 0.643 (multiplicity 4)
Te 0.000 0.856 0.505 (multiplicity 2)
Te 0.111 0.314 0.529 (multiplicity 4)
Te 0.112 0.678 0.041 (multiplicity 4)
Te 0.240 0.187 0.035 (multiplicity 4)

---

Here is K2TiGaTe4 after structural relaxation from Alexandria. Energies are from PBE-GGA.

Output
Energy relative to the elements, uncorrected = -0.692 eV per atom
Calculated volume = 39.34 A^3/atom

Cell: 7.925 7.925 10.023 Å, 90.00 90.00 90.00°
Space group I-4 (No. 82)
Symmetry-distinct sites (fractional):
K 0.000 0.000 0.000 (multiplicity 2)
K 0.000 0.500 0.250 (multiplicity 2)
Ti 0.000 0.500 0.750 (multiplicity 2)
Ga 0.000 0.000 0.500 (multiplicity 2)
Te 0.165 0.254 0.629 (multiplicity 8)

---

Here is K2TiGaTe5 after structural relaxation from Alexandria. Energies are from PBE-GGA.

Output
Energy relative to the elements, uncorrected = -0.661 eV per atom
Calculated volume = 36.11 A^3/atom

Cell: 3.949 21.559 15.267 Å, 90.00 90.00 90.00°
Space group Cmc2_1 (No. 36)
Symmetry-distinct sites (fractional):
K 0.000 0.124 0.000 (multiplicity 4)
K 0.000 0.138 0.369 (multiplicity 4)
Ti 0.000 0.206 0.708 (multiplicity 4)
Ga 0.000 0.425 0.093 (multiplicity 4)
Te 0.000 0.067 0.708 (multiplicity 4)
Te 0.000 0.302 0.070 (multiplicity 4)
Te 0.000 0.302 0.331 (multiplicity 4)
Te 0.000 0.328 0.682 (multiplicity 4)
Te 0.000 0.490 0.949 (multiplicity 4)

---

Here is KTlGaTe3 after structural relaxation from Alexandria. Energies are from PBE-GGA.

Output
Energy relative to the elements, uncorrected = -0.426 eV per atom
Calculated volume = 37.19 A^3/atom

Cell: 9.770 4.428 10.725 Å, 90.00 105.86 90.00°
Space group P2_1/m (No. 11)
Symmetry-distinct sites (fractional):
K 0.228 0.250 0.239 (multiplicity 2)
Tl 0.339 0.750 0.910 (multiplicity 2)
Ga 0.079 0.250 0.627 (multiplicity 2)
Te 0.077 0.250 0.868 (multiplicity 2)
Te 0.192 0.750 0.539 (multiplicity 2)
Te 0.497 0.750 0.202 (multiplicity 2)

---

Question: What is the formula in the second record?
Answer: K5Ga2Te5